Computed, not measured: CsCeTl after structural relaxation at the PBE level of DFT.

Computed properties:
ΔE_f, eV/atom: -0.0449
Final energy, eV per atom: -3.096
Magnetization, μB per atom: 0.254

a = 5.6564 Å, b = 4.0215 Å, c = 15.5932 Å
α = 90.21°, β = 90.00°, γ = 134.69°
Each line ends with the local moment (μB).
Positions (direct):
1 Ce 0.6981 0.3962 0.9518  0.63
2 Tl 0.7974 0.5947 0.1678  0.00
3 Cs 0.7080 0.4159 0.6605  0.00
4 Ce 0.3019 0.6038 0.0482  0.63
5 Tl 0.2026 0.4053 0.8322  0.00
6 Cs 0.2920 0.5841 0.3395  0.00